# TlCdRe2 | Alexandria via LeMat-Bulk | GGA-PBE | relaxed
# - energy of formation from the pure elements (eV/atom) = 0.739
data_TlCdRe2
_space_group_name_H-M_alt 'C 1 m 1'
_space_group_IT_number 8
_space_group_name_Hall 'C -2y'
_cell_length_a 8.243
_cell_length_b 2.836
_cell_length_c 7.667
_cell_angle_alpha 90.00
_cell_angle_beta 104.09
_cell_angle_gamma 90.00
loop_
_atom_site_label
_atom_site_type_symbol
_atom_site_fract_x
_atom_site_fract_y
_atom_site_fract_z
Tl1 Tl 0.000 0.000 0.000
Cd1 Cd 0.270 0.000 0.673
Re1 Re 0.018 0.500 0.416
Re2 Re 0.247 0.500 0.277

# TlCd2Re | Alexandria via LeMat-Bulk | GGA-PBE | relaxed
# - energy of formation from the pure elements (eV/atom) = 0.750
data_TlCd2Re
_space_group_name_H-M_alt 'I 4/m m m'
_space_group_IT_number 139
_space_group_name_Hall '-I 4 2'
_cell_length_a 4.081
_cell_length_b 4.081
_cell_length_c 9.623
_cell_angle_alpha 90.00
_cell_angle_beta 90.00
_cell_angle_gamma 90.00
loop_
_atom_site_label
_atom_site_type_symbol
_atom_site_fract_x
_atom_site_fract_y
_atom_site_fract_z
Tl1 Tl 0.000 0.000 0.000
Cd1 Cd 0.000 0.500 0.250
Re1 Re 0.000 0.000 0.500

# TlCd2Re | Alexandria via LeMat-Bulk | GGA-PBE | relaxed
# - energy of formation from the pure elements (eV/atom) = 0.616
data_TlCd2Re
_space_group_name_H-M_alt 'C m m 2'
_space_group_IT_number 35
_space_group_name_Hall 'C 2 -2'
_cell_length_a 3.033
_cell_length_b 4.955
_cell_length_c 11.648
_cell_angle_alpha 90.00
_cell_angle_beta 90.00
_cell_angle_gamma 90.00
loop_
_atom_site_label
_atom_site_type_symbol
_atom_site_fract_x
_atom_site_fract_y
_atom_site_fract_z
Tl1 Tl 0.000 0.000 0.000
Cd1 Cd 0.000 0.000 0.563
Cd2 Cd 0.000 0.500 0.310
Re1 Re 0.000 0.500 0.773

# TlCd2Re | Alexandria via LeMat-Bulk | GGA-PBE | relaxed
# - energy of formation from the pure elements (eV/atom) = 0.583
data_TlCd2Re
_space_group_name_H-M_alt 'C m m m'
_space_group_IT_number 65
_space_group_name_Hall '-C 2 2'
_cell_length_a 3.201
_cell_length_b 4.827
_cell_length_c 11.154
_cell_angle_alpha 90.00
_cell_angle_beta 90.00
_cell_angle_gamma 90.00
loop_
_atom_site_label
_atom_site_type_symbol
_atom_site_fract_x
_atom_site_fract_y
_atom_site_fract_z
Tl1 Tl 0.000 0.000 0.000
Cd1 Cd 0.000 0.500 0.285
Re1 Re 0.000 0.000 0.500

# TlCdRe2 | Alexandria via LeMat-Bulk | GGA-PBE | relaxed
# - energy of formation from the pure elements (eV/atom) = 1.030
data_TlCdRe2
_space_group_name_H-M_alt 'C m m m'
_space_group_IT_number 65
_space_group_name_Hall '-C 2 2'
_cell_length_a 3.019
_cell_length_b 4.884
_cell_length_c 9.818
_cell_angle_alpha 90.00
_cell_angle_beta 90.00
_cell_angle_gamma 90.00
loop_
_atom_site_label
_atom_site_type_symbol
_atom_site_fract_x
_atom_site_fract_y
_atom_site_fract_z
Tl1 Tl 0.000 0.000 0.000
Cd1 Cd 0.000 0.000 0.500
Re1 Re 0.000 0.500 0.252

# TlCd2Re | Alexandria via LeMat-Bulk | GGA-PBE | relaxed
# - energy of formation from the pure elements (eV/atom) = 1.022
data_TlCd2Re
_space_group_name_H-M_alt 'F m -3 m'
_space_group_IT_number 225
_space_group_name_Hall '-F 4 2 3'
_cell_length_a 6.907
_cell_length_b 6.907
_cell_length_c 6.907
_cell_angle_alpha 90.00
_cell_angle_beta 90.00
_cell_angle_gamma 90.00
loop_
_atom_site_label
_atom_site_type_symbol
_atom_site_fract_x
_atom_site_fract_y
_atom_site_fract_z
Tl1 Tl 0.000 0.000 0.000
Cd1 Cd 0.250 0.250 0.250
Re1 Re 0.000 0.000 0.500

# TlCdRe2 | Alexandria via LeMat-Bulk | GGA-PBE | relaxed
# - energy of formation from the pure elements (eV/atom) = 1.133
data_TlCdRe2
_space_group_name_H-M_alt 'I 4/m m m'
_space_group_IT_number 139
_space_group_name_Hall '-I 4 2'
_cell_length_a 3.978
_cell_length_b 3.978
_cell_length_c 9.147
_cell_angle_alpha 90.00
_cell_angle_beta 90.00
_cell_angle_gamma 90.00
loop_
_atom_site_label
_atom_site_type_symbol
_atom_site_fract_x
_atom_site_fract_y
_atom_site_fract_z
Tl1 Tl 0.000 0.000 0.000
Cd1 Cd 0.000 0.000 0.500
Re1 Re 0.000 0.500 0.250

# TlCd2Re | Alexandria via LeMat-Bulk | GGA-PBE | relaxed
# - energy of formation from the pure elements (eV/atom) = 0.570
data_TlCd2Re
_space_group_name_H-M_alt 'C 1 2/m 1'
_space_group_IT_number 12
_space_group_name_Hall '-C 2y'
_cell_length_a 14.142
_cell_length_b 2.881
_cell_length_c 4.799
_cell_angle_alpha 90.00
_cell_angle_beta 109.80
_cell_angle_gamma 90.00
loop_
_atom_site_label
_atom_site_type_symbol
_atom_site_fract_x
_atom_site_fract_y
_atom_site_fract_z
Tl1 Tl 0.000 0.000 0.000
Cd1 Cd 0.188 0.000 0.689
Re1 Re 0.000 0.500 0.500